(1)
{
  "formula": "LiZrMo",
  "functional": "meta-GGA SCAN",
  "state": "PBEsol geometry",
  "magmom_total_mub_per_cell": 0.0,
  "energy_ev_per_cell": -67.05,
  "vol_a3_per_atom": 17.0,
  "space_group": "No. 156",
  "delta_e_f_ev_per_atom": 0.309,
  "crystal_system": "trigonal",
  "lattice_angstrom": [[4.7925, 0.0000, 0.0000], [-2.3963, 4.1505, 0.0000], [0.0000, 0.0000, 2.5589]],
  "species": ["Li", "Zr", "Mo"],
  "frac_coords": [[0.0000, 0.0000, 0.0000], [0.6667, 0.3333, 0.2852], [0.3333, 0.6667, 0.7399]]
}

(2)
{
  "formula": "SrY2TaPd",
  "functional": "meta-GGA SCAN",
  "state": "PBEsol geometry",
  "magmom_total_mub_per_cell": 3.8,
  "energy_ev_per_cell": -174.41,
  "vol_a3_per_atom": 31.1,
  "space_group": "No. 123",
  "delta_e_f_ev_per_atom": 0.581,
  "crystal_system": "tetragonal",
  "lattice_angstrom": [[5.3007, 0.0000, 0.0000], [0.0000, 5.3007, 0.0000], [0.0000, 0.0000, 5.5299]],
  "species": ["Sr", "Y", "Y", "Ta", "Pd"],
  "frac_coords": [[0.0000, 0.0000, 0.0000], [0.0000, 0.5000, 0.5000], [0.5000, 0.0000, 0.5000], [0.5000, 0.5000, 0.0000], [0.0000, 0.0000, 0.5000]]
}

(3)
{
  "formula": "KNa2Hg",
  "functional": "meta-GGA SCAN",
  "state": "PBEsol geometry",
  "magmom_total_mub_per_cell": 0.0,
  "energy_ev_per_cell": -341.81,
  "vol_a3_per_atom": 31.6,
  "space_group": "No. 225",
  "delta_e_f_ev_per_atom": -0.132,
  "crystal_system": "cubic",
  "lattice_angstrom": [[7.9644, 0.0000, 0.0000], [0.0000, 7.9644, 0.0000], [0.0000, 0.0000, 7.9644]],
  "species": ["K", "K", "K", "K", "Na", "Na", "Na", "Na", "Na", "Na", "Na", "Na", "Hg", "Hg", "Hg", "Hg"],
  "frac_coords": [[0.0000, 0.0000, 0.0000], [0.0000, 0.5000, 0.5000], [0.5000, 0.0000, 0.5000], [0.5000, 0.5000, 0.0000], [0.2500, 0.2500, 0.2500], [0.2500, 0.2500, 0.7500], [0.2500, 0.7500, 0.2500], [0.2500, 0.7500, 0.7500], [0.7500, 0.2500, 0.2500], [0.7500, 0.2500, 0.7500], [0.7500, 0.7500, 0.2500], [0.7500, 0.7500, 0.7500], [0.0000, 0.0000, 0.5000], [0.0000, 0.5000, 0.0000], [0.5000, 0.0000, 0.0000], [0.5000, 0.5000, 0.5000]]
}

(4)
{
  "formula": "Li2La2Mg",
  "functional": "meta-GGA SCAN",
  "state": "PBEsol geometry",
  "magmom_total_mub_per_cell": 0.1,
  "energy_ev_per_cell": -191.66,
  "vol_a3_per_atom": 26.1,
  "space_group": "No. 127",
  "delta_e_f_ev_per_atom": 0.027,
  "crystal_system": "tetragonal",
  "de_polymorph_mev_per_atom": 0.0,
  "lattice_angstrom": [[6.9653, 0.0000, 0.0000], [0.0000, 6.9653, 0.0000], [0.0000, 0.0000, 5.3703]],
  "species": ["Li", "Li", "Li", "Li", "La", "La", "La", "La", "Mg", "Mg"],
  "frac_coords": [[0.1280, 0.3720, 0.0000], [0.3720, 0.8720, 0.0000], [0.6280, 0.1280, 0.0000], [0.8720, 0.6280, 0.0000], [0.1765, 0.6765, 0.5000], [0.3235, 0.1765, 0.5000], [0.6765, 0.8235, 0.5000], [0.8235, 0.3235, 0.5000], [0.0000, 0.0000, 0.0000], [0.5000, 0.5000, 0.0000]]
}

(5)
{
  "formula": "CoS2NF",
  "functional": "meta-GGA SCAN",
  "state": "PBEsol geometry",
  "magmom_total_mub_per_cell": 4.5,
  "energy_ev_per_cell": -41.13,
  "vol_a3_per_atom": 13.3,
  "space_group": "No. 123",
  "crystal_system": "tetragonal",
  "lattice_angstrom": [[4.2081, 0.0000, 0.0000], [0.0000, 4.2081, 0.0000], [0.0000, 0.0000, 3.7658]],
  "species": ["Co", "S", "S", "N", "F"],
  "frac_coords": [[0.0000, 0.0000, 0.0000], [0.0000, 0.5000, 0.5000], [0.5000, 0.0000, 0.5000], [0.5000, 0.5000, 0.0000], [0.5000, 0.5000, 0.5000]]
}

(6)
{
  "formula": "K3TlRe",
  "functional": "meta-GGA SCAN",
  "state": "PBEsol geometry",
  "magmom_total_mub_per_cell": 4.5,
  "energy_ev_per_cell": -160.86,
  "vol_a3_per_atom": 53.3,
  "space_group": "No. 221",
  "delta_e_f_ev_per_atom": 1.517,
  "crystal_system": "cubic",
  "lattice_angstrom": [[6.4349, 0.0000, 0.0000], [0.0000, 6.4349, 0.0000], [0.0000, 0.0000, 6.4349]],
  "species": ["K", "K", "K", "Tl", "Re"],
  "frac_coords": [[0.0000, 0.0000, 0.5000], [0.0000, 0.5000, 0.0000], [0.5000, 0.0000, 0.0000], [0.0000, 0.0000, 0.0000], [0.5000, 0.5000, 0.5000]]
}

(7)
{
  "formula": "LiAl2Pd",
  "functional": "meta-GGA SCAN",
  "state": "PBEsol geometry",
  "magmom_total_mub_per_cell": 0.0,
  "energy_ev_per_cell": -214.77,
  "vol_a3_per_atom": 13.8,
  "space_group": "No. 225",
  "delta_e_f_ev_per_atom": -0.756,
  "crystal_system": "cubic",
  "lattice_angstrom": [[6.0468, 0.0000, 0.0000], [0.0000, 6.0468, 0.0000], [0.0000, 0.0000, 6.0468]],
  "species": ["Li", "Li", "Li", "Li", "Al", "Al", "Al", "Al", "Al", "Al", "Al", "Al", "Pd", "Pd", "Pd", "Pd"],
  "frac_coords": [[0.0000, 0.0000, 0.0000], [0.0000, 0.5000, 0.5000], [0.5000, 0.0000, 0.5000], [0.5000, 0.5000, 0.0000], [0.2500, 0.2500, 0.2500], [0.2500, 0.2500, 0.7500], [0.2500, 0.7500, 0.2500], [0.2500, 0.7500, 0.7500], [0.7500, 0.2500, 0.2500], [0.7500, 0.2500, 0.7500], [0.7500, 0.7500, 0.2500], [0.7500, 0.7500, 0.7500], [0.0000, 0.0000, 0.5000], [0.0000, 0.5000, 0.0000], [0.5000, 0.0000, 0.0000], [0.5000, 0.5000, 0.5000]]
}

(8)
{
  "formula": "Zn2CuTc",
  "functional": "meta-GGA SCAN",
  "state": "PBEsol geometry",
  "magmom_total_mub_per_cell": 0.0,
  "energy_ev_per_cell": -77.40,
  "vol_a3_per_atom": 12.9,
  "space_group": "No. 123",
  "delta_e_f_ev_per_atom": -0.027,
  "crystal_system": "tetragonal",
  "lattice_angstrom": [[3.7970, 0.0000, 0.0000], [0.0000, 3.7970, 0.0000], [0.0000, 0.0000, 3.5871]],
  "species": ["Zn", "Zn", "Cu", "Tc"],
  "frac_coords": [[0.0000, 0.5000, 0.0000], [0.5000, 0.0000, 0.0000], [0.0000, 0.0000, 0.5000], [0.5000, 0.5000, 0.5000]]
}

(9)
{
  "formula": "SrTcN3",
  "functional": "meta-GGA SCAN",
  "state": "PBEsol geometry",
  "magmom_total_mub_per_cell": 0.0,
  "energy_ev_per_cell": -175.90,
  "vol_a3_per_atom": 14.6,
  "space_group": "No. 12",
  "crystal_system": "monoclinic",
  "lattice_angstrom": [[6.1627, -1.8571, 0.0000], [6.1627, 1.8571, 0.0000], [-1.7311, 0.0000, 6.3979]],
  "species": ["Sr", "Sr", "Tc", "Tc", "N", "N", "N", "N", "N", "N"],
  "frac_coords": [[0.1154, 0.1154, 0.3297], [0.8846, 0.8846, 0.6703], [0.3430, 0.3430, 0.1409], [0.6570, 0.6570, 0.8591], [0.1816, 0.1816, 0.9861], [0.3434, 0.3434, 0.4033], [0.4932, 0.4932, 0.0927], [0.5068, 0.5068, 0.9073], [0.6566, 0.6566, 0.5967], [0.8184, 0.8184, 0.0139]]
}

(10)
{
  "formula": "TcTe2As",
  "functional": "meta-GGA SCAN",
  "state": "PBEsol geometry",
  "magmom_total_mub_per_cell": 0.0,
  "energy_ev_per_cell": -378.96,
  "vol_a3_per_atom": 22.4,
  "space_group": "No. 166",
  "crystal_system": "trigonal",
  "lattice_angstrom": [[2.9928, 0.0000, 0.0000], [-1.4964, 2.5919, 0.0000], [0.0000, 0.0000, 34.5784]],
  "species": ["Tc", "Tc", "Tc", "Te", "Te", "Te", "Te", "Te", "Te", "As", "As", "As"],
  "frac_coords": [[0.0000, 0.0000, 0.0000], [0.3333, 0.6667, 0.6667], [0.6667, 0.3333, 0.3333], [0.0000, 0.0000, 0.0758], [0.0000, 0.0000, 0.9242], [0.3333, 0.6667, 0.5909], [0.3333, 0.6667, 0.7424], [0.6667, 0.3333, 0.2576], [0.6667, 0.3333, 0.4091], [0.0000, 0.0000, 0.5000], [0.3333, 0.6667, 0.1667], [0.6667, 0.3333, 0.8333]]
}

(11)
{
  "formula": "BeRhC3",
  "functional": "meta-GGA SCAN",
  "state": "PBEsol geometry",
  "magmom_total_mub_per_cell": 0.0,
  "energy_ev_per_cell": -55.20,
  "vol_a3_per_atom": 11.9,
  "space_group": "No. 221",
  "delta_e_f_ev_per_atom": 2.646,
  "crystal_system": "cubic",
  "lattice_angstrom": [[3.9089, 0.0000, 0.0000], [0.0000, 3.9089, 0.0000], [0.0000, 0.0000, 3.9089]],
  "species": ["Be", "Rh", "C", "C", "C"],
  "frac_coords": [[0.0000, 0.0000, 0.0000], [0.5000, 0.5000, 0.5000], [0.0000, 0.5000, 0.5000], [0.5000, 0.0000, 0.5000], [0.5000, 0.5000, 0.0000]]
}

(12)
{
  "formula": "TlNiP",
  "functional": "meta-GGA SCAN",
  "state": "PBEsol geometry",
  "magmom_total_mub_per_cell": 0.0,
  "energy_ev_per_cell": -98.79,
  "vol_a3_per_atom": 17.7,
  "space_group": "No. 156",
  "delta_e_f_ev_per_atom": 0.045,
  "crystal_system": "trigonal",
  "lattice_angstrom": [[3.3595, 0.0000, 0.0000], [-1.6797, 2.9094, 0.0000], [0.0000, 0.0000, 5.4420]],
  "species": ["Tl", "Ni", "P"],
  "frac_coords": [[0.0000, 0.0000, 0.0000], [0.3333, 0.6667, 0.6204], [0.6667, 0.3333, 0.4388]]
}

(13)
{
  "formula": "Ba2CaAu2",
  "functional": "meta-GGA SCAN",
  "state": "PBEsol geometry",
  "magmom_total_mub_per_cell": 0.0,
  "energy_ev_per_cell": -461.56,
  "vol_a3_per_atom": 32.5,
  "space_group": "No. 127",
  "delta_e_f_ev_per_atom": -0.740,
  "crystal_system": "tetragonal",
  "lattice_angstrom": [[8.3582, 0.0000, 0.0000], [0.0000, 8.3582, 0.0000], [0.0000, 0.0000, 4.6491]],
  "species": ["Ba", "Ba", "Ba", "Ba", "Ca", "Ca", "Au", "Au", "Au", "Au"],
  "frac_coords": [[0.1644, 0.3356, 0.0000], [0.3356, 0.8356, 0.0000], [0.6644, 0.1644, 0.0000], [0.8356, 0.6644, 0.0000], [0.0000, 0.0000, 0.5000], [0.5000, 0.5000, 0.5000], [0.1334, 0.6334, 0.5000], [0.3666, 0.1334, 0.5000], [0.6334, 0.8666, 0.5000], [0.8666, 0.3666, 0.5000]]
}